Material: Sc2BeCuMo
Method: DFT, PBE-GGA
State: relaxed

Values from the calculation:
formation enthalpy at 0 K	548	meV/atom
raw total energy	-5.72	eV per atom
volume	18.61	A^3/atom
space group	P4/mmm (123)

abc: 4.7005 4.2117 4.7005
angles: 90.00 90.00 90.00
Closest atoms and distances in Å follow each position.
Positions (direct):
Mo: 0.0000 0.5000 0.0000  2 Be 2.11
Be: 0.0000 0.0000 0.0000  2 Mo 2.11, 4 Sc 2.35
Cu: 0.5000 0.5000 0.5000  8 Sc 3.16, 4 Mo 3.32
Sc: 0.0000 0.0000 0.5000  2 Be 2.35
Sc: 0.5000 0.0000 0.0000  2 Be 2.35